No. 1
First-principles (PBE-GGA) data for AcPrSmTm after structural relaxation, as listed in Alexandria via LeMat-Bulk.

The structure in CIF format:
```
data_AcPrSmTm
_space_group_name_H-M_alt 'F -4 3 m'
_space_group_IT_number 216
_space_group_name_Hall 'F -4 2 3'
_cell_length_a 8.353
_cell_length_b 8.353
_cell_length_c 8.353
_cell_angle_alpha 90.00
_cell_angle_beta 90.00
_cell_angle_gamma 90.00
loop_
_atom_site_label
_atom_site_fract_x
_atom_site_fract_y
_atom_site_fract_z
Ac1 0.000 0.000 0.000
Pr1 0.250 0.250 0.750
Sm1 0.250 0.250 0.250
Tm1 0.000 0.000 0.500
```

Calculated values
- density of states at the Fermi level (states/eV per atom) = 2.593
- uncorrected energy (eV per atom) = -4.348
- energy of formation from the pure elements (kJ/mol of formula units) = 66
- distance to the lowest polymorph of the same formula (meV/atom) = 107

=====

No. 2
First-principles (PBE-GGA) data for PrSmGdAg after structural relaxation, as listed in Alexandria via LeMat-Bulk.

The structure in CIF format:
```
data_PrSmGdAg
_space_group_name_H-M_alt 'F -4 3 m'
_space_group_IT_number 216
_space_group_name_Hall 'F -4 2 3'
_cell_length_a 7.761
_cell_length_b 7.761
_cell_length_c 7.761
_cell_angle_alpha 90.00
_cell_angle_beta 90.00
_cell_angle_gamma 90.00
loop_
_atom_site_label
_atom_site_fract_x
_atom_site_fract_y
_atom_site_fract_z
Pr1 0.000 0.000 0.000
Sm1 0.000 0.000 0.500
Gd1 0.250 0.250 0.250
Ag1 0.250 0.250 0.750
```

Calculated values
- density of states at the Fermi level (states/eV per atom) = 1.576
- uncorrected energy (eV per atom) = -6.544
- energy of formation from the pure elements (kJ/mol of formula units) = 25

=====

No. 3
First-principles (PBE-GGA) data for PmCd6Ag after structural relaxation, as listed in Alexandria via LeMat-Bulk.

The structure in CIF format:
```
data_PmCd6Ag
_space_group_name_H-M_alt 'A m m 2'
_space_group_IT_number 38
_cell_length_a 4.853
_cell_length_b 6.014
_cell_length_c 12.971
_cell_angle_alpha 90.00
_cell_angle_beta 90.00
_cell_angle_gamma 90.00
loop_
_space_group_symop_operation_xyz
'x,y,z'
'-x,-y,z'
'-x,y,z'
'x,-y,z'
'x,y+1/2,z+1/2'
'-x,-y+1/2,z+1/2'
'-x,y+1/2,z+1/2'
'x,-y+1/2,z+1/2'
loop_
_atom_site_label
_atom_site_fract_x
_atom_site_fract_y
_atom_site_fract_z
Pm1 0.000 0.000 0.000
Cd1 0.000 0.238 0.731
Cd2 0.500 0.000 0.161
Cd3 0.500 0.000 0.585
Cd4 0.500 0.243 0.876
Ag1 0.000 0.000 0.427
```

Calculated values
- density of states at the Fermi level (states/eV per atom) = 0.429
- uncorrected energy (eV per atom) = -1.753
- energy of formation from the pure elements (kJ/mol of formula units) = -90

=====

No. 4
First-principles (PBE-GGA) data for LiPr3Sn after structural relaxation, as listed in Alexandria via LeMat-Bulk.

The structure in CIF format:
```
data_LiPr3Sn
_space_group_name_H-M_alt 'I m a 2'
_space_group_IT_number 46
_cell_length_a 10.737
_cell_length_b 7.546
_cell_length_c 7.151
_cell_angle_alpha 90.00
_cell_angle_beta 90.00
_cell_angle_gamma 90.00
loop_
_space_group_symop_operation_xyz
'x,y,z'
'-x,-y,z'
'-x+1/2,y,z'
'x+1/2,-y,z'
'x+1/2,y+1/2,z+1/2'
'-x+1/2,-y+1/2,z+1/2'
'-x,y+1/2,z+1/2'
'x,-y+1/2,z+1/2'
loop_
_atom_site_label
_atom_site_fract_x
_atom_site_fract_y
_atom_site_fract_z
Li1 0.250 0.250 0.000
Pr1 0.026 0.750 0.499
Pr2 0.250 0.555 0.250
Sn1 0.250 0.515 0.750
```

Calculated values
- density of states at the Fermi level (states/eV per atom) = 0.873
- uncorrected energy (eV per atom) = -4.217
- energy of formation from the pure elements (kJ/mol of formula units) = -80

=====

No. 5
First-principles (PBE-GGA) data for PmTm2Rh after structural relaxation, as listed in Alexandria via LeMat-Bulk.

The structure in CIF format:
```
data_PmTm2Rh
_space_group_name_H-M_alt 'R 3 m'
_space_group_IT_number 160
_space_group_name_Hall 'R 3 -2"'
_cell_length_a 3.8552
_cell_length_b 3.8552
_cell_length_c 26.8421
_cell_angle_alpha 90.00
_cell_angle_beta 90.00
_cell_angle_gamma 120.00
loop_
_atom_site_label
_atom_site_fract_x
_atom_site_fract_y
_atom_site_fract_z
Pm1 0.0000 0.0000 0.0000
Tm1 0.0000 0.0000 0.2266
Tm2 0.0000 0.0000 0.4445
Rh1 0.0000 0.0000 0.8356
```

Calculated values
- density of states at the Fermi level (states/eV per atom) = 1.161
- uncorrected energy (eV per atom) = -5.641
- energy of formation from the pure elements (kJ/mol of formula units) = -147
- distance to the lowest polymorph of the same formula (meV/atom) = 148

=====

No. 6
First-principles (PBE-GGA) data for SrMgZnCd2 after structural relaxation, as listed in Alexandria via LeMat-Bulk.

The structure in CIF format:
```
data_SrMgZnCd2
_space_group_name_H-M_alt 'I m m 2'
_space_group_IT_number 44
_cell_length_a 4.483
_cell_length_b 4.528
_cell_length_c 12.659
_cell_angle_alpha 90.00
_cell_angle_beta 90.00
_cell_angle_gamma 90.00
loop_
_space_group_symop_operation_xyz
'x,y,z'
'-x,-y,z'
'-x,y,z'
'x,-y,z'
'x+1/2,y+1/2,z+1/2'
'-x+1/2,-y+1/2,z+1/2'
'-x+1/2,y+1/2,z+1/2'
'x+1/2,-y+1/2,z+1/2'
loop_
_atom_site_label
_atom_site_fract_x
_atom_site_fract_y
_atom_site_fract_z
Sr1 0.000 0.000 0.000
Mg1 0.000 0.500 0.761
Zn1 0.000 0.000 0.398
Cd1 0.000 0.000 0.612
Cd2 0.000 0.500 0.266
```

Calculated values
- density of states at the Fermi level (states/eV per atom) = 0.570
- uncorrected energy (eV per atom) = -1.509
- energy of formation from the pure elements (kJ/mol of formula units) = -113

=====

Please write out number 3 again, unchanged.
First-principles (PBE-GGA) data for PmCd6Ag after structural relaxation, as listed in Alexandria via LeMat-Bulk.

The structure in CIF format:
```
data_PmCd6Ag
_space_group_name_H-M_alt 'A m m 2'
_space_group_IT_number 38
_cell_length_a 4.853
_cell_length_b 6.014
_cell_length_c 12.971
_cell_angle_alpha 90.00
_cell_angle_beta 90.00
_cell_angle_gamma 90.00
loop_
_space_group_symop_operation_xyz
'x,y,z'
'-x,-y,z'
'-x,y,z'
'x,-y,z'
'x,y+1/2,z+1/2'
'-x,-y+1/2,z+1/2'
'-x,y+1/2,z+1/2'
'x,-y+1/2,z+1/2'
loop_
_atom_site_label
_atom_site_fract_x
_atom_site_fract_y
_atom_site_fract_z
Pm1 0.000 0.000 0.000
Cd1 0.000 0.238 0.731
Cd2 0.500 0.000 0.161
Cd3 0.500 0.000 0.585
Cd4 0.500 0.243 0.876
Ag1 0.000 0.000 0.427
```

Calculated values
- density of states at the Fermi level (states/eV per atom) = 0.429
- uncorrected energy (eV per atom) = -1.753
- energy of formation from the pure elements (kJ/mol of formula units) = -90